Crystalline TiFeO3 at its relaxed geometry, computed with GGA+U.

Cell and atoms, written as CIF:
```
data_TiFeO3
_chemical_formula_sum 'Ti4 Fe4 O12'
_cell_length_a 7.8335
_cell_length_b 2.9579
_cell_length_c 9.7430
_cell_angle_alpha 90.00
_cell_angle_beta 90.00
_cell_angle_gamma 90.00
_symmetry_space_group_name_H-M 'P 1'
_symmetry_Int_Tables_number 1
_symmetry_space_group_name_Hall 'P 1'
loop_
_atom_site_label
_atom_site_fract_x
_atom_site_fract_y
_atom_site_fract_z
Ti1 0.1896 0.2500 0.0088
Ti2 0.3104 0.7500 0.5088
Ti3 0.6896 0.2500 0.4912
Ti4 0.8104 0.7500 0.9912
Fe1 0.0377 0.7500 0.3143
Fe2 0.4623 0.2500 0.8143
Fe3 0.5377 0.7500 0.1857
Fe4 0.9623 0.2500 0.6857
O1 0.0606 0.7500 0.1074
O2 0.1252 0.7500 0.6173
O3 0.2323 0.2500 0.3913
O4 0.2677 0.7500 0.8913
O5 0.3748 0.2500 0.1173
O6 0.4394 0.2500 0.6074
O7 0.5606 0.7500 0.3926
O8 0.6252 0.7500 0.8827
O9 0.7323 0.2500 0.1087
O10 0.7677 0.7500 0.6087
O11 0.8748 0.2500 0.3827
O12 0.9394 0.2500 0.8926
```

Calculated values
E	-159.84	eV for the cell shown